## Ti17N6O24 (meta-GGA SCAN)

Data for a crystal of Ti17N6O24 relaxed with PBEsol.

POSCAR file:
```
Ti17N6O24
1.0
7.576 0.000 0.000
0.000 9.911 0.000
-1.895 0.000 14.332
Ti N O
34 12 48
Cartesian
-0.058 0.748 1.332 Ti
-0.058 4.207 1.332 Ti
-0.026 7.434 1.896 Ti
-0.019 2.478 7.649 Ti
-0.003 5.648 8.276 Ti
-0.003 9.219 8.276 Ti
-0.001 0.607 10.877 Ti
-0.001 4.349 10.877 Ti
1.897 2.478 2.835 Ti
1.894 5.655 3.420 Ti
1.894 9.212 3.420 Ti
1.889 0.713 6.100 Ti
1.889 4.243 6.100 Ti
1.874 7.434 6.664 Ti
1.867 2.478 12.435 Ti
1.834 5.703 13.000 Ti
1.834 9.164 13.000 Ti
3.847 0.747 1.331 Ti
3.847 4.209 1.331 Ti
3.814 7.434 1.897 Ti
3.807 2.478 7.668 Ti
3.792 5.669 8.232 Ti
3.792 9.198 8.232 Ti
3.787 0.700 10.912 Ti
3.787 4.256 10.912 Ti
3.784 7.434 11.496 Ti
5.681 5.562 3.454 Ti
5.681 9.305 3.454 Ti
5.683 0.692 6.056 Ti
5.683 4.263 6.056 Ti
5.700 7.434 6.683 Ti
5.707 2.478 12.435 Ti
5.738 5.704 13.000 Ti
5.738 9.163 13.000 Ti
0.132 2.478 2.068 N
0.011 7.434 7.324 N
-0.001 2.478 11.780 N
1.893 7.434 2.596 N
1.905 2.478 6.977 N
2.023 7.434 12.267 N
3.658 2.478 2.065 N
3.776 7.434 7.355 N
3.788 2.478 11.736 N
5.682 7.434 2.552 N
5.670 2.478 7.008 N
5.549 7.434 12.264 N
0.059 6.143 0.472 O
0.059 8.724 0.472 O
-0.003 5.588 2.998 O
-0.003 9.279 2.998 O
0.001 0.660 6.542 O
0.001 4.296 6.542 O
-0.002 1.212 9.076 O
-0.002 3.744 9.076 O
0.012 6.038 9.989 O
0.012 8.829 9.989 O
-0.002 5.417 12.651 O
-0.002 9.450 12.651 O
1.894 0.597 1.819 O
1.894 4.359 1.819 O
1.903 1.178 4.318 O
1.903 3.778 4.318 O
1.895 6.133 5.237 O
1.895 8.734 5.237 O
1.895 5.589 7.752 O
1.895 9.278 7.752 O
1.890 0.636 11.337 O
1.890 4.319 11.337 O
1.952 1.188 13.861 O
1.952 3.768 13.861 O
3.729 6.144 0.471 O
3.729 8.723 0.471 O
3.791 5.592 2.995 O
3.791 9.275 2.995 O
3.786 0.633 6.579 O
3.786 4.322 6.579 O
3.786 1.178 9.095 O
3.786 3.778 9.095 O
3.778 6.134 10.014 O
3.778 8.733 10.014 O
3.786 5.553 12.513 O
3.786 9.314 12.513 O
5.682 0.462 1.681 O
5.682 4.494 1.681 O
5.668 1.082 4.342 O
5.668 3.873 4.342 O
5.683 6.168 5.256 O
5.683 8.699 5.256 O
5.680 5.616 7.790 O
5.680 9.251 7.790 O
5.684 0.633 11.334 O
5.684 4.323 11.334 O
5.622 1.188 13.860 O
5.622 3.768 13.860 O
```

Summary:
- DOS at the Fermi energy (states/eV/cell) = 11.474
- magnetization (μB/f.u.) = 0.0
- energy relative to the elements, uncorrected (eV per atom) = -2.94
- symmetry = P2_1/m, No. 11